(one)
Below is crystalline PPt3Pb at its relaxed geometry, with properties calculated at the PBE-GGA level.

Output
M_tot in μB per formula unit: 0.0

Lattice parameters (Å, degrees): 6.135 6.131 4.150 70.27 70.17 39.56
Sites, in units of the cell vectors:
1 P 0.000 0.000 0.000
2 Pt 0.210 0.210 0.790
3 Pt 0.396 0.396 0.104
4 Pt 0.896 0.896 0.604
5 Pb 0.650 0.650 0.350

***

(two)
Below is crystalline PPt3Pb at its relaxed geometry, with properties calculated at the PBE-GGA level.

Output
M_tot in μB per formula unit: 0.0

Lattice parameters (Å, degrees): 5.035 5.035 5.035 90.00 90.00 90.00
Sites, in units of the cell vectors:
1 P 0.000 0.000 0.000
2 Pt 0.000 0.500 0.500
3 Pt 0.500 0.000 0.500
4 Pt 0.500 0.500 0.000
5 Pb 0.500 0.500 0.500

***

The winner here is (one), beating the second structure by 1887 meV per atom.